{
  "formula": "LaCrNO2",
  "functional": "PBE with a Hubbard U",
  "state": "relaxed",
  "dos_ef_per_ev_cell": 0.7,
  "vol_a3_per_cell": 60,
  "e_tot_ry_per_atom": -0.58624,
  "space_group": "No. 123",
  "cell": [[-2.7158, -2.4476, -1.5476], [2.5923, -1.1092, -2.7948], [1.2337, -2.7933, 2.2528]],
  "species": ["Cr", "N", "O", "O", "La"],
  "frac_coords": [[0.0000, 0.0000, 0.0000], [0.0000, 0.0000, 0.5000], [0.0000, 0.5000, 0.0000], [0.5000, 0.0000, 0.0000], [0.5000, 0.5000, 0.5000]]
}